# 1
Computed, not measured: Li2ErAu after structural relaxation at the PBE-GGA level of DFT.

Unit cell a=4.6661 b=4.6661 c=4.6661 alpha=60.00 beta=60.00 gamma=60.00
Positions (direct):
Li 0.2500 0.2500 0.2500
Li 0.7500 0.7500 0.7500
Er 0.0000 0.0000 0.0000
Au 0.5000 0.5000 0.5000

Values from the calculation:
energy of formation from the pure elements: -1.06 eV/f.u.
magnetic moment: 0.0 μB/f.u.
E_tot: -3.182 eV per atom
Fermi-level density of states: 3.27 states/eV/cell
theoretical density: 8.74 g/cm3

***

# 2
Computed, not measured: LiEr4Au3 after structural relaxation at the PBE-GGA level of DFT.

Unit cell a=7.9899 b=7.9899 c=5.0634 alpha=108.38 beta=108.38 gamma=36.95
Positions (direct):
Li 0.0000 0.0000 0.0000
Er 0.1266 0.1266 0.6263
Er 0.3734 0.3734 0.8735
Er 0.6266 0.6266 0.1265
Er 0.8734 0.8734 0.3737
Au 0.2318 0.2318 0.2311
Au 0.5000 0.5000 0.5000
Au 0.7682 0.7682 0.7689

Values from the calculation:
energy of formation from the pure elements: -5.45 eV/f.u.
magnetic moment: 0.0 μB/f.u.
E_tot: -4.431 eV per atom
Fermi-level density of states: 3.09 states/eV/cell
theoretical density: 11.48 g/cm3

***

# 3
Computed, not measured: LiErAu after structural relaxation at the PBE-GGA level of DFT.

Unit cell a=7.3276 b=7.3276 c=4.0766 alpha=90.00 beta=90.00 gamma=120.00
Positions (direct):
Li 0.0000 0.7614 0.0000
Li 0.2386 0.2386 0.0000
Li 0.7614 0.0000 0.0000
Er 0.0000 0.4106 0.5000
Er 0.4106 0.0000 0.5000
Er 0.5894 0.5894 0.5000
Au 0.0000 0.0000 0.5000
Au 0.3333 0.6667 0.0000
Au 0.6667 0.3333 0.0000

Values from the calculation:
energy of formation from the pure elements: -1.88 eV/f.u.
magnetic moment: 0.0 μB/f.u.
E_tot: -3.880 eV per atom
Fermi-level density of states: 5.08 states/eV/cell
theoretical density: 9.75 g/cm3

***

# 4
Computed, not measured: Li2ErAu after structural relaxation at the PBE-GGA level of DFT.

Unit cell a=5.3814 b=5.3814 c=8.1744 alpha=90.00 beta=90.00 gamma=135.27
Positions (direct):
Li 0.1536 0.8464 0.5529
Li 0.1536 0.8464 0.9471
Li 0.8464 0.1536 0.0529
Li 0.8464 0.1536 0.4471
Er 0.4419 0.5581 0.7500
Er 0.5581 0.4419 0.2500
Au 0.2668 0.7332 0.2500
Au 0.7332 0.2668 0.7500

Values from the calculation:
energy of formation from the pure elements: -1.61 eV/f.u.
magnetic moment: 0.0 μB/f.u.
E_tot: -3.320 eV per atom
Fermi-level density of states: 6.43 states/eV/cell
theoretical density: 7.54 g/cm3

***

# 5
Computed, not measured: Li7ErAu4 after structural relaxation at the PBE-GGA level of DFT.

Unit cell a=7.0657 b=7.0657 c=8.5120 alpha=124.87 beta=124.87 gamma=39.05
Positions (direct):
Li 0.0000 0.0000 0.0000
Li 0.1874 0.1874 0.6354
Li 0.2831 0.2831 0.1250
Li 0.4374 0.4374 0.5831
Li 0.5626 0.5626 0.4169
Li 0.7169 0.7169 0.8750
Li 0.8126 0.8126 0.3646
Er 0.5000 0.5000 0.0000
Au 0.0599 0.0599 0.7762
Au 0.1920 0.1920 0.3372
Au 0.8080 0.8080 0.6628
Au 0.9401 0.9401 0.2238

Values from the calculation:
energy of formation from the pure elements: -3.21 eV/f.u.
magnetic moment: 0.0 μB/f.u.
E_tot: -2.856 eV per atom
Fermi-level density of states: 5.17 states/eV/cell
theoretical density: 7.83 g/cm3

***

# 6
Computed, not measured: LiErAu4 after structural relaxation at the PBE-GGA level of DFT.

Unit cell a=5.1249 b=5.1249 c=5.0958 alpha=90.11 beta=90.11 gamma=119.82
Positions (direct):
Li 0.0000 0.0000 0.0000
Er 0.5000 0.5000 0.5000
Au 0.1622 0.8378 0.5000
Au 0.3313 0.6687 0.0000
Au 0.6687 0.3313 0.0000
Au 0.8378 0.1622 0.5000

Values from the calculation:
energy of formation from the pure elements: -3.58 eV/f.u.
magnetic moment: 0.0 μB/f.u.
E_tot: -3.861 eV per atom
Fermi-level density of states: 2.76 states/eV/cell
theoretical density: 13.76 g/cm3

***

# 7
Computed, not measured: LiEr2Au2 after structural relaxation at the PBE-GGA level of DFT.

Unit cell a=7.9446 b=7.9446 c=3.6840 alpha=90.00 beta=90.00 gamma=90.00
Positions (direct):
Li 0.0000 0.0000 0.0000
Li 0.5000 0.5000 0.0000
Er 0.1600 0.3400 0.5000
Er 0.3400 0.8400 0.5000
Er 0.6600 0.1600 0.5000
Er 0.8400 0.6600 0.5000
Au 0.1383 0.6383 0.0000
Au 0.3617 0.1383 0.0000
Au 0.6383 0.8617 0.0000
Au 0.8617 0.3617 0.0000

Values from the calculation:
energy of formation from the pure elements: -3.49 eV/f.u.
magnetic moment: 0.0 μB/f.u.
E_tot: -4.216 eV per atom
Fermi-level density of states: 6.47 states/eV/cell
theoretical density: 10.50 g/cm3

***

# 8
Computed, not measured: LiErAu after structural relaxation at the PBE-GGA level of DFT.

Unit cell a=4.4688 b=4.4688 c=3.5802 alpha=90.00 beta=90.00 gamma=120.00
Positions (direct):
Li 0.0000 0.0000 0.0000
Er 0.6667 0.3333 0.5000
Au 0.3333 0.6667 0.0000

Values from the calculation:
energy of formation from the pure elements: -1.55 eV/f.u.
magnetic moment: 0.0 μB/f.u.
E_tot: -3.768 eV per atom
Fermi-level density of states: 2.15 states/eV/cell
theoretical density: 9.95 g/cm3

***

# 9
Computed, not measured: Li12ErAu6 after structural relaxation at the PBE-GGA level of DFT.

Unit cell a=7.0205 b=7.0205 c=7.0205 alpha=88.04 beta=88.04 gamma=88.04
Positions (direct):
Li 0.0151 0.3145 0.9037
Li 0.0961 0.3351 0.4577
Li 0.0963 0.9849 0.6855
Li 0.3145 0.9037 0.0151
Li 0.3351 0.4577 0.0961
Li 0.4577 0.0961 0.3351
Li 0.5423 0.9039 0.6649
Li 0.6649 0.5423 0.9039
Li 0.6855 0.0963 0.9849
Li 0.9037 0.0151 0.3145
Li 0.9039 0.6649 0.5423
Li 0.9849 0.6855 0.0963
Er 0.5000 0.5000 0.5000
Au 0.2117 0.6306 0.7744
Au 0.2256 0.7883 0.3694
Au 0.3694 0.2256 0.7883
Au 0.6306 0.7744 0.2117
Au 0.7744 0.2117 0.6306
Au 0.7883 0.3694 0.2256

Values from the calculation:
energy of formation from the pure elements: -7.69 eV/f.u.
magnetic moment: 0.0 μB/f.u.
E_tot: -2.888 eV per atom
Fermi-level density of states: 6.50 states/eV/cell
theoretical density: 6.89 g/cm3

***

# 10
Computed, not measured: Li2ErAu8 after structural relaxation at the PBE-GGA level of DFT.

Unit cell a=7.8498 b=7.8498 c=4.1082 alpha=105.06 beta=105.06 gamma=59.33
Positions (direct):
Li 0.1555 0.1555 0.1558
Li 0.8445 0.8445 0.8442
Er 0.4393 0.5607 0.5000
Au 0.0300 0.9700 0.5000
Au 0.0421 0.5908 0.3159
Au 0.3080 0.3639 0.8361
Au 0.4092 0.9579 0.6841
Au 0.5958 0.0948 0.3449
Au 0.6361 0.6920 0.1639
Au 0.7288 0.2712 0.0000
Au 0.9052 0.4042 0.6551

Values from the calculation:
energy of formation from the pure elements: -4.92 eV/f.u.
magnetic moment: 0.0 μB/f.u.
E_tot: -3.593 eV per atom
Fermi-level density of states: 2.38 states/eV/cell
theoretical density: 14.04 g/cm3

***

# 11
Computed, not measured: LiErAu after structural relaxation at the PBE-GGA level of DFT.

Unit cell a=5.2496 b=5.2496 c=5.2496 alpha=139.09 beta=139.09 gamma=59.24
Positions (direct):
Li 0.0000 0.0000 0.0000
Er 0.3095 0.3095 0.0000
Au 0.6496 0.6496 0.0000

Values from the calculation:
energy of formation from the pure elements: -1.65 eV/f.u.
magnetic moment: 0.0 μB/f.u.
E_tot: -3.801 eV per atom
Fermi-level density of states: 0.92 states/eV/cell
theoretical density: 10.03 g/cm3

***

# 12
Computed, not measured: Li2ErAu2 after structural relaxation at the PBE-GGA level of DFT.

Unit cell a=3.7976 b=3.7976 c=7.2123 alpha=105.13 beta=105.13 gamma=90.02
Positions (direct):
Li 0.2498 0.7502 0.0000
Li 0.7502 0.2498 0.0000
Er 0.0000 0.0000 0.5000
Au 0.3930 0.3930 0.2857
Au 0.6070 0.6070 0.7143

Values from the calculation:
energy of formation from the pure elements: -3.04 eV/f.u.
magnetic moment: 0.0 μB/f.u.
E_tot: -3.596 eV per atom
Fermi-level density of states: 2.30 states/eV/cell
theoretical density: 9.88 g/cm3

***

# 13
Computed, not measured: LiEr5Au6 after structural relaxation at the PBE-GGA level of DFT.

Unit cell a=8.6445 b=8.6445 c=4.9644 alpha=106.57 beta=106.57 gamma=119.89
Positions (direct):
Li 0.0000 0.0000 0.0000
Er 0.1576 0.8424 0.5000
Er 0.3312 0.6688 0.0000
Er 0.5000 0.5000 0.5000
Er 0.6688 0.3312 0.0000
Er 0.8424 0.1576 0.5000
Au 0.0861 0.4291 0.2582
Au 0.2596 0.2596 0.7620
Au 0.4291 0.0861 0.2582
Au 0.5709 0.9139 0.7418
Au 0.7404 0.7404 0.2380
Au 0.9139 0.5709 0.7418

Values from the calculation:
energy of formation from the pure elements: -9.82 eV/f.u.
magnetic moment: 0.0 μB/f.u.
E_tot: -4.517 eV per atom
Fermi-level density of states: 6.99 states/eV/cell
theoretical density: 12.72 g/cm3

***

# 14
Computed, not measured: LiErAu after structural relaxation at the PBE-GGA level of DFT.

Unit cell a=4.6963 b=4.6963 c=4.6963 alpha=60.00 beta=60.00 gamma=60.00
Positions (direct):
Li 0.0000 0.0000 0.0000
Er 0.5000 0.5000 0.5000
Au 0.2500 0.2500 0.2500

Values from the calculation:
energy of formation from the pure elements: -1.34 eV/f.u.
magnetic moment: 0.0 μB/f.u.
E_tot: -3.697 eV per atom
Fermi-level density of states: 2.19 states/eV/cell
theoretical density: 8.42 g/cm3

***

# 15
Computed, not measured: Li3ErAu4 after structural relaxation at the PBE-GGA level of DFT.

Unit cell a=5.7537 b=5.7537 c=5.7537 alpha=109.47 beta=109.47 gamma=109.47
Positions (direct):
Li 0.0000 0.5000 0.5000
Li 0.5000 0.0000 0.5000
Li 0.5000 0.5000 0.0000
Er 0.0000 0.0000 0.0000
Au 0.0000 0.0000 0.5000
Au 0.0000 0.5000 0.0000
Au 0.5000 0.0000 0.0000
Au 0.5000 0.5000 0.5000

Values from the calculation:
energy of formation from the pure elements: -4.69 eV/f.u.
magnetic moment: 0.0 μB/f.u.
E_tot: -3.513 eV per atom
Fermi-level density of states: 1.29 states/eV/cell
theoretical density: 11.05 g/cm3

***

# 16
Computed, not measured: Li2ErAu2 after structural relaxation at the PBE-GGA level of DFT.

Unit cell a=5.3664 b=5.3664 c=7.1965 alpha=101.99 beta=101.99 gamma=83.97
Positions (direct):
Li 0.1028 0.2176 0.4615
Li 0.2176 0.1028 0.9615
Li 0.7824 0.8972 0.0385
Li 0.8972 0.7824 0.5385
Er 0.3597 0.6403 0.2500
Er 0.6403 0.3597 0.7500
Au 0.1417 0.5696 0.8365
Au 0.4304 0.8583 0.6635
Au 0.5696 0.1417 0.3365
Au 0.8583 0.4304 0.1635

Values from the calculation:
energy of formation from the pure elements: -2.92 eV/f.u.
magnetic moment: 0.0 μB/f.u.
E_tot: -3.574 eV per atom
Fermi-level density of states: 5.41 states/eV/cell
theoretical density: 9.65 g/cm3

***

# 17
Computed, not measured: LiErAu3 after structural relaxation at the PBE-GGA level of DFT.

Unit cell a=4.6411 b=6.5632 c=6.2992 alpha=90.00 beta=90.00 gamma=90.00
Positions (direct):
Li 0.2500 0.2500 0.0689
Li 0.7500 0.7500 0.9311
Er 0.2500 0.7500 0.2660
Er 0.7500 0.2500 0.7340
Au 0.2500 0.2500 0.4558
Au 0.2500 0.5403 0.8018
Au 0.2500 0.9597 0.8018
Au 0.7500 0.0403 0.1982
Au 0.7500 0.4597 0.1982
Au 0.7500 0.7500 0.5442

Values from the calculation:
energy of formation from the pure elements: -3.10 eV/f.u.
magnetic moment: 0.0 μB/f.u.
E_tot: -3.883 eV per atom
Fermi-level density of states: 2.77 states/eV/cell
theoretical density: 13.24 g/cm3

***

# 18
Computed, not measured: LiErAu2 after structural relaxation at the PBE-GGA level of DFT.

Unit cell a=4.8206 b=4.8206 c=4.8206 alpha=60.00 beta=60.00 gamma=60.00
Positions (direct):
Li 0.0000 0.0000 0.0000
Er 0.5000 0.5000 0.5000
Au 0.2500 0.2500 0.2500
Au 0.7500 0.7500 0.7500

Values from the calculation:
energy of formation from the pure elements: -2.90 eV/f.u.
magnetic moment: 0.0 μB/f.u.
E_tot: -3.982 eV per atom
Fermi-level density of states: 2.05 states/eV/cell
theoretical density: 11.91 g/cm3

***

# 19
Computed, not measured: LiErAu4 after structural relaxation at the PBE-GGA level of DFT.

Unit cell a=5.5377 b=5.5377 c=5.5377 alpha=60.00 beta=60.00 gamma=60.00
Positions (direct):
Li 0.0000 0.0000 0.0000
Er 0.2500 0.2500 0.2500
Au 0.1238 0.6254 0.6254
Au 0.6254 0.1238 0.6254
Au 0.6254 0.6254 0.1238
Au 0.6254 0.6254 0.6254

Values from the calculation:
energy of formation from the pure elements: -2.77 eV/f.u.
magnetic moment: 0.0 μB/f.u.
E_tot: -3.725 eV per atom
Fermi-level density of states: 5.59 states/eV/cell
theoretical density: 13.30 g/cm3

***

# 20
Computed, not measured: LiErAu after structural relaxation at the PBE-GGA level of DFT.

Unit cell a=5.5229 b=5.5229 c=7.4289 alpha=117.53 beta=117.53 gamma=42.02
Positions (direct):
Li 0.1834 0.1834 0.0686
Li 0.8166 0.8166 0.9314
Er 0.4314 0.4314 0.6739
Er 0.5686 0.5686 0.3261
Au 0.1527 0.1527 0.6800
Au 0.8473 0.8473 0.3200

Values from the calculation:
energy of formation from the pure elements: -1.62 eV/f.u.
magnetic moment: 0.0 μB/f.u.
E_tot: -3.793 eV per atom
Fermi-level density of states: 3.98 states/eV/cell
theoretical density: 9.35 g/cm3